1.
Density functional theory data (GGA+U) for crystalline TiFeTcO6 at its relaxed geometry.

Unit cell a=5.0075 b=5.0075 c=8.9510 alpha=90.00 beta=90.00 gamma=120.00
Last column: nearest neighbours and their distance in Å.
Space group P-31c (No. 163)
One atom of each set of equivalent atoms:
Ti (0.3333, 0.6667, 0.2500)  6 O 1.98
Fe (0.0000, 0.0000, 0.0000)  6 O 2.06
Tc (0.3333, 0.6667, 0.7500)  6 O 1.97
O (0.0011, 0.3404, 0.6299)  1 Tc 1.97, 1 Ti 1.98, 1 Fe 2.06

Calculated values
Energy   -7.832 eV per atom

---

2.
Density functional theory data (GGA+U) for crystalline V2FeTcO8 at its relaxed geometry.

Unit cell a=6.4830 b=6.4914 c=6.1080 alpha=90.00 beta=90.00 gamma=90.00
Last column: nearest neighbours and their distance in Å.
Space group Cmmm (No. 65)
One atom of each set of equivalent atoms:
V (0.0000, 0.0000, 0.2437)  6 O 1.93-2.03
Fe (0.0000, 0.5000, 0.0000)  6 O 1.98-2.07
Tc (0.0000, 0.5000, 0.5000)  6 O 1.95-1.97
O (0.0000, 0.2966, 0.2604)  1 V 1.93, 1 Tc 1.97, 1 Fe 2.07
O (0.1938, 0.0000, 0.0000)  2 V 1.95, 1 Fe 1.98
O (0.1998, 0.0000, 0.5000)  1 Tc 1.95, 2 V 2.03

Calculated values
Energy   -7.556 eV per atom

---

3.
Density functional theory data (GGA+U) for crystalline VFeTc2O at its relaxed geometry.

Unit cell a=4.0990 b=4.0990 c=3.9853 alpha=90.00 beta=90.00 gamma=90.00
Last column: nearest neighbours and their distance in Å.
Space group P4/mmm (No. 123)
One atom of each set of equivalent atoms:
V (0.0000, 0.0000, 0.0000)  2 O 1.99
Fe (0.5000, 0.5000, 0.0000)  8 Tc 2.86, 4 V 2.90
Tc (0.0000, 0.5000, 0.5000)  2 O 2.05
O (0.0000, 0.0000, 0.5000)  2 V 1.99, 4 Tc 2.05

Calculated values
Energy   -7.534 eV per atom

---

4.
Density functional theory data (GGA+U) for crystalline FeTc2WO at its relaxed geometry.

Unit cell a=4.8547 b=4.8547 c=3.4107 alpha=90.00 beta=90.00 gamma=90.00
Last column: nearest neighbours and their distance in Å.
Space group P4/mmm (No. 123)
One atom of each set of equivalent atoms:
Fe (0.0000, 0.0000, 0.0000)  2 O 1.71
Tc (0.0000, 0.5000, 0.0000)  2 Fe 2.43
W (0.5000, 0.5000, 0.5000)  8 Tc 2.97
O (0.0000, 0.0000, 0.5000)  2 Fe 1.71

Calculated values
Energy   -6.575 eV per atom

---

5.
Density functional theory data (GGA+U) for crystalline Fe2Te3O10 at its relaxed geometry.

Unit cell a=7.5603 b=8.0833 c=8.1729 alpha=78.11 beta=81.56 gamma=83.07
Last column: nearest neighbours and their distance in Å.
Space group P-1 (No. 2)
One atom of each set of equivalent atoms:
Fe (0.0252, 0.0354, 0.1908)  5 O 1.79-2.00
Fe (0.4603, 0.4792, 0.3116)  5 O 1.93-2.11
Te (0.1975, 0.3127, 0.6580)  3 O 1.89-1.95
Te (0.2791, 0.8366, 0.5250)  3 O 1.88-2.06
Te (0.3371, 0.7788, 0.9967)  3 O 1.89-1.95
O (0.0428, 0.8215, 0.6337)  1 Te 1.88, 1 Fe 2.00
O (0.0778, 0.8306, 0.0023)  1 Fe 1.93, 1 Te 1.95
O (0.1861, 0.8599, 0.2958)  1 Fe 1.90, 1 Te 2.06
O (0.1952, 0.0679, 0.7300)  1 Fe 1.92, 1 Te 1.95
O (0.2451, 0.1008, 0.1132)  1 Fe 1.79
O (0.3184, 0.5590, 0.1275)  1 Te 1.89, 1 Fe 1.93
O (0.3303, 0.2872, 0.4484)  1 Te 1.89, 1 Fe 1.99
O (0.3326, 0.5972, 0.5115)  1 Te 1.95, 1 Fe 2.11
O (0.3699, 0.7055, 0.7809)  1 Te 1.95, 1 Fe 2.04
O (0.3941, 0.3232, 0.7739)  1 Te 1.89, 1 Fe 2.00

Calculated values
Energy   -5.650 eV per atom

---

6.
Density functional theory data (GGA+U) for crystalline FeTeO3 at its relaxed geometry.

Unit cell a=4.0663 b=4.0663 c=4.0663 alpha=90.00 beta=90.00 gamma=90.00
Last column: nearest neighbours and their distance in Å.
Space group Pm-3m (No. 221)
One atom of each set of equivalent atoms:
Fe (0.0000, 0.0000, 0.0000)  12 O 2.88
Te (0.5000, 0.5000, 0.5000)  6 O 2.03
O (0.0000, 0.5000, 0.5000)  2 Te 2.03

Calculated values
Energy   -5.094 eV per atom

---

7.
Density functional theory data (GGA+U) for crystalline FeTe6O13 at its relaxed geometry.

Unit cell a=10.3809 b=10.3809 c=19.4629 alpha=90.00 beta=90.00 gamma=120.00
Last column: nearest neighbours and their distance in Å.
Space group R-3 (No. 148, hexagonal axes)
One atom of each set of equivalent atoms:
Fe (0.0000, 0.0000, 0.2438)  6 O 2.13-2.22
Te (0.0601, 0.8292, 0.9070)  3 O 1.89-2.06
Te (0.0846, 0.8471, 0.4040)  2 O 1.89-1.97
O (0.0000, 0.0000, 0.4105)  3 Te 2.17
O (0.0048, 0.7522, 0.5533)  1 Te 1.89
O (0.0516, 0.8539, 0.8111)  1 Te 1.89
O (0.0531, 0.8695, 0.0724)  2 Te 1.96-2.06
O (0.0944, 0.2062, 0.3063)  2 Te 1.97-2.19

Calculated values
Energy   -5.524 eV per atom

---

8.
Density functional theory data (GGA+U) for crystalline Fe2TeO6 at its relaxed geometry.

Unit cell a=4.6786 b=4.6786 c=9.2193 alpha=90.00 beta=90.00 gamma=90.00
Last column: nearest neighbours and their distance in Å.
Space group P4_2/mnm (No. 136)
One atom of each set of equivalent atoms:
Fe (0.0000, 0.0000, 0.1645)  6 O 2.02-2.05
Te (0.0000, 0.0000, 0.5000)  6 O 1.95-1.97
O (0.1913, 0.1913, 0.3393)  1 Te 1.95, 2 Fe 2.04-2.05
O (0.2025, 0.2025, 0.0000)  1 Te 1.97, 2 Fe 2.02

Calculated values
Energy   -6.189 eV per atom

---

The highest energy belongs to which entry?
FeTeO3

---

Which of these has the highest energy?
FeTeO3

---

The lowest energy belongs to which entry?
TiFeTcO6

---

Which value of energy does entry 3 give?
-7.534 eV per atom